DFT (PBE) results for an optimized crystal structure of LaSbW2.

Structure (POSCAR):
```
LaSbW2
1.0
-0.086 1.083 -2.873
1.113 -2.862 0.056
-8.773 -3.433 -1.032
W La Sb
2 1 1
Direct
0.000 0.000 0.524
0.000 0.000 0.976
0.500 0.500 0.250
0.500 0.500 0.750
```

Calculated values
Symmetry: Cmmm, No. 65
D(E_F): 3.25 states/eV/f.u.
Final energy: -7.873 eV/atom
Formation energy from raw total energies: 0.87 eV per atom
Total moment: 0.00 Bohr magnetons per cell

DFT (PBE) results for an optimized crystal structure of Sn12Hg3S5.

Structure (POSCAR):
```
Sn12Hg3S5
1.0
14.637 0.000 0.000
-4.879 13.800 0.000
-4.879 -6.900 11.951
Sn S Hg
48 20 12
Direct
0.924 0.098 0.871
0.674 0.447 0.576
0.727 0.129 0.053
0.273 0.871 0.947
0.424 0.371 0.598
0.447 0.773 0.871
0.098 0.924 0.371
0.098 0.174 0.227
0.826 0.902 0.273
0.902 0.826 0.773
0.871 0.598 0.924
0.553 0.227 0.129
0.076 0.902 0.129
0.402 0.273 0.326
0.598 0.727 0.674
0.174 0.098 0.727
0.129 0.727 0.553
0.727 0.598 0.174
0.553 0.326 0.924
0.447 0.674 0.076
0.371 0.424 0.098
0.076 0.174 0.447
0.773 0.326 0.902
0.053 0.629 0.727
0.947 0.576 0.174
0.924 0.826 0.553
0.773 0.447 0.371
0.174 0.076 0.947
0.326 0.553 0.424
0.947 0.371 0.273
0.598 0.871 0.424
0.273 0.402 0.826
0.826 0.924 0.053
0.576 0.947 0.674
0.402 0.129 0.576
0.424 0.053 0.326
0.902 0.076 0.629
0.053 0.424 0.826
0.629 0.053 0.227
0.674 0.227 0.598
0.227 0.674 0.098
0.629 0.576 0.902
0.326 0.773 0.402
0.371 0.947 0.773
0.576 0.629 0.402
0.227 0.553 0.629
0.871 0.273 0.447
0.129 0.402 0.076
0.500 0.500 0.000
0.500 0.000 0.000
0.875 0.250 0.625
0.125 0.375 0.250
0.000 0.500 0.000
0.500 0.000 0.500
0.000 0.000 0.500
0.875 0.625 0.750
0.625 0.750 0.875
0.500 0.500 0.500
0.750 0.625 0.375
0.375 0.250 0.125
0.250 0.875 0.125
0.125 0.750 0.375
0.000 0.500 0.500
0.750 0.125 0.875
0.250 0.375 0.625
0.375 0.125 0.750
0.000 0.000 0.000
0.625 0.875 0.250
0.625 0.375 0.750
0.375 0.625 0.250
0.750 0.375 0.125
0.625 0.250 0.375
0.125 0.875 0.750
0.250 0.125 0.375
0.375 0.750 0.625
0.125 0.250 0.875
0.250 0.625 0.875
0.875 0.750 0.125
0.875 0.125 0.250
0.750 0.875 0.625
```

Calculated values
Symmetry: Ia-3d, No. 230
D(E_F): 9.37 states/eV/f.u.
Final energy: -3.414 eV/atom
Formation energy from raw total energies: 0.07 eV per atom
Total moment: 0.00 Bohr magnetons per cell

DFT (PBE) results for an optimized crystal structure of La2ZrAl.

Structure (POSCAR):
```
La2ZrAl
1.0
-2.727 -1.421 -5.454
-0.053 -3.594 -5.126
-3.593 -4.265 1.029
Al La Zr
1 2 1
Direct
0.776 0.776 0.771
0.028 0.028 0.948
0.234 0.234 0.287
0.462 0.462 0.494
```

Calculated values
Symmetry: Cm, No. 8
D(E_F): 4.94 states/eV/f.u.
Final energy: -5.613 eV/atom
ΔH_f (0 K): -0.077 eV/atom
Total moment: 0.00 Bohr magnetons per cell